An optimized crystal structure of Ba2CaDy3O8. Source: Alexandria, functional PBE-GGA.

space-group type = R3m
uncorrected formation energy = -2948 meV/atom

Unit cell a=7.0151 b=7.0151 c=7.3791 alpha=61.62 beta=61.62 gamma=60.00
Last column: nearest neighbours and their distance in Å.
Atoms (fractional coordinates):
O1 0.7547 0.2831 0.2076  1 Ca 2.25, 2 Dy 2.33
O2 0.2684 0.2684 0.1949  3 Dy 2.35
O3 0.6935 0.2482 0.8101  2 Dy 2.27, 1 Ba 2.52
Dy1 0.4990 0.4990 0.0044  6 O 2.27-2.35
O4 0.2482 0.2482 0.8101  2 Dy 2.27, 1 Ba 2.52
Dy2 0.4990 0.9976 0.0044  6 O 2.27-2.35
Ca1 0.8930 0.8930 0.3209  3 O 2.25
O5 0.7547 0.7547 0.2076  1 Ca 2.25, 2 Dy 2.33
O6 0.2482 0.6935 0.8101  2 Dy 2.27, 1 Ba 2.52
O7 0.2831 0.7547 0.2076  1 Ca 2.25, 2 Dy 2.33
Dy3 0.9976 0.4990 0.0044  6 O 2.27-2.35
O8 0.7291 0.7291 0.8127  3 Dy 2.34
Ba1 0.4990 0.4990 0.5031  6 O 2.61-2.64
Ba2 0.1253 0.1253 0.6240  4 O 2.52-2.65

An optimized crystal structure of BaCaPrDy. Source: Alexandria, functional PBE-GGA.

space-group type = F-43m
DFT formation energy = 0.20 eV/atom

Unit cell a=6.1174 b=6.1174 c=6.1174 alpha=60.00 beta=60.00 gamma=60.00
Last column: nearest neighbours and their distance in Å.
Atoms (fractional coordinates):
Pr1 0.0000 0.0000 0.0000  4 Dy 3.75, 4 Ca 3.75
Ca1 0.2500 0.2500 0.2500  4 Ba 3.75, 4 Pr 3.75
Ba1 0.5000 0.5000 0.5000  4 Dy 3.75, 4 Ca 3.75
Dy1 0.7500 0.7500 0.7500  4 Ba 3.75, 4 Pr 3.75

An optimized crystal structure of BaSrCaDy. Source: Alexandria, functional PBE-GGA.

space-group type = F-43m
DFT formation energy = 0.19 eV/atom

Unit cell a=6.3255 b=6.3255 c=6.3255 alpha=60.00 beta=60.00 gamma=60.00
Last column: nearest neighbours and their distance in Å.
Atoms (fractional coordinates):
Sr1 0.2500 0.2500 0.2500  4 Ba 3.87, 4 Ca 3.87
Ba1 0.0000 0.0000 0.0000  4 Sr 3.87, 4 Dy 3.87
Dy1 0.7500 0.7500 0.7500  4 Ba 3.87, 4 Ca 3.87
Ca1 0.5000 0.5000 0.5000  4 Dy 3.87, 4 Sr 3.87

An optimized crystal structure of Ba2CaDyTe4. Source: Alexandria, functional PBE-GGA.

space-group type = P2/m
uncorrected formation energy = -1605 meV/atom

Unit cell a=4.6530 b=8.0796 c=8.2479 alpha=108.98 beta=90.00 gamma=90.00
Last column: nearest neighbours and their distance in Å.
Atoms (fractional coordinates):
Te1 0.5000 0.7549 0.7819  1 Dy 3.14, 2 Ca 3.20, 3 Ba 3.46-3.51
Ca1 0.0000 0.0000 0.0000  6 Te 3.20-3.21
Te2 0.0000 0.7338 0.2164  2 Dy 3.16, 1 Ca 3.21, 3 Ba 3.45-3.50
Dy1 0.5000 0.5000 0.0000  6 Te 3.14-3.16
Te3 0.5000 0.2451 0.2181  1 Dy 3.14, 2 Ca 3.20, 3 Ba 3.46-3.51
Ba1 0.5000 0.0000 0.5000  6 Te 3.50-3.51
Te4 0.0000 0.2662 0.7836  2 Dy 3.16, 1 Ca 3.21, 3 Ba 3.45-3.50
Ba2 0.0000 0.5000 0.5000  6 Te 3.45-3.46

An optimized crystal structure of Ba2CaEr. Source: Alexandria, functional PBE-GGA.

offset from the most stable computed form = 154 meV/atom
space-group type = R-3m
DFT formation energy = 0.35 eV/atom

Unit cell a=3.8503 b=3.8503 c=14.2906 alpha=82.26 beta=82.26 gamma=60.00
Last column: nearest neighbours and their distance in Å.
Atoms (fractional coordinates):
Ba1 0.0836 0.0836 0.7493  1 Er 3.54, 6 Ba 3.85
Ca1 0.5000 0.5000 0.5000  6 Ca 3.85, 6 Ba 4.16
Ba2 0.9164 0.9164 0.2507  1 Er 3.54, 6 Ba 3.85
Er1 0.0000 0.0000 0.0000  2 Ba 3.54, 6 Er 3.85

An optimized crystal structure of Ba2CaEr. Source: Alexandria, functional PBE-GGA.

offset from the most stable computed form = 0 meV/atom
space-group type = P4/mmm
DFT formation energy = 0.19 eV/atom

Unit cell a=4.4001 b=4.4001 c=9.7892 alpha=90.00 beta=90.00 gamma=90.00
Last column: nearest neighbours and their distance in Å.
Atoms (fractional coordinates):
Er1 0.5000 0.5000 0.0000  8 Ba 3.83
Ba1 0.0000 0.0000 0.7717  4 Er 3.83, 4 Ca 4.09
Ca1 0.5000 0.5000 0.5000  8 Ba 4.09, 4 Ca 4.40
Ba2 0.0000 0.0000 0.2283  4 Er 3.83, 4 Ca 4.09

An optimized crystal structure of BaCa14Er. Source: Alexandria, functional PBE-GGA.

space-group type = Amm2
DFT formation energy = 0.05 eV/atom

Unit cell a=7.8085 b=7.8085 c=12.8260 alpha=90.00 beta=90.00 gamma=120.04
Last column: nearest neighbours and their distance in Å.
Atoms (fractional coordinates):
Ca1 0.2085 0.7915 0.0000  12 Ca 3.89-3.99
Ca2 0.5432 0.9596 0.5000  8 Ca 3.87-3.95, 2 Er 3.89-3.92, 2 Ba 3.90-3.91
Ca3 0.3768 0.6232 0.7446  1 Er 3.85, 11 Ca 3.86-3.99
Ca4 0.7077 0.2923 0.0000  12 Ca 3.87-3.91
Ca5 0.8697 0.6194 0.7500  10 Ca 3.82-3.99, 1 Er 3.90, 1 Ba 3.94
Ca6 0.3768 0.6232 0.2554  1 Er 3.85, 11 Ca 3.86-3.99
Ca7 0.3806 0.1303 0.2500  10 Ca 3.82-3.99, 1 Er 3.90, 1 Ba 3.94
Er1 0.5423 0.4577 0.5000  10 Ca 3.85-3.92, 2 Ba 3.90
Ba1 0.0415 0.9585 0.5000  10 Ca 3.90-3.97, 2 Er 3.90
Ca8 0.3806 0.1303 0.7500  10 Ca 3.82-3.99, 1 Er 3.90, 1 Ba 3.94
Ca9 0.8735 0.1265 0.2458  11 Ca 3.86-3.95, 1 Ba 3.97
Ca10 0.0404 0.4568 0.5000  8 Ca 3.87-3.95, 2 Er 3.89-3.92, 2 Ba 3.90-3.91
Ca11 0.2090 0.2939 0.0000  12 Ca 3.88-3.96
Ca12 0.8697 0.6194 0.2500  10 Ca 3.82-3.99, 1 Er 3.90, 1 Ba 3.94
Ca13 0.7061 0.7910 0.0000  12 Ca 3.88-3.96
Ca14 0.8735 0.1265 0.7542  11 Ca 3.86-3.95, 1 Ba 3.97

An optimized crystal structure of BaCaEuEr. Source: Alexandria, functional PBE-GGA.

space-group type = F-43m
DFT formation energy = 0.18 eV/atom

Unit cell a=6.1953 b=6.1953 c=6.1953 alpha=60.00 beta=60.00 gamma=60.00
Last column: nearest neighbours and their distance in Å.
Atoms (fractional coordinates):
Ba1 0.5000 0.5000 0.5000  4 Ca 3.79, 4 Eu 3.79
Eu1 0.7500 0.7500 0.7500  4 Ba 3.79, 4 Er 3.79
Er1 0.0000 0.0000 0.0000  4 Eu 3.79, 4 Ca 3.79
Ca1 0.2500 0.2500 0.2500  4 Er 3.79, 4 Ba 3.79

An optimized crystal structure of BaCaErIn. Source: Alexandria, functional PBE-GGA.

space-group type = F-43m
DFT formation energy = -0.06 eV/atom

Unit cell a=5.8212 b=5.8212 c=5.8212 alpha=60.00 beta=60.00 gamma=60.00
Last column: nearest neighbours and their distance in Å.
Atoms (fractional coordinates):
In1 0.2500 0.2500 0.2500  4 Er 3.56, 4 Ba 3.56
Ba1 0.5000 0.5000 0.5000  4 Ca 3.56, 4 In 3.56
Er1 0.0000 0.0000 0.0000  4 Ca 3.56, 4 In 3.56
Ca1 0.7500 0.7500 0.7500  4 Ba 3.56, 4 Er 3.56

An optimized crystal structure of BaCaErMg. Source: Alexandria, functional PBE-GGA.

space-group type = F-43m
DFT formation energy = 0.16 eV/atom

Unit cell a=5.9278 b=5.9278 c=5.9278 alpha=60.00 beta=60.00 gamma=60.00
Last column: nearest neighbours and their distance in Å.
Atoms (fractional coordinates):
Ca1 0.5000 0.5000 0.5000  4 Ba 3.63, 4 Er 3.63
Ba1 0.7500 0.7500 0.7500  4 Ca 3.63, 4 Mg 3.63
Er1 0.2500 0.2500 0.2500  4 Ca 3.63, 4 Mg 3.63
Mg1 0.0000 0.0000 0.0000  4 Er 3.63, 4 Ba 3.63

An optimized crystal structure of Ba2CaErSe4. Source: Alexandria, functional PBE-GGA.

space-group type = P2/m
uncorrected formation energy = -1928 meV/atom

Unit cell a=4.3474 b=7.5440 c=7.7599 alpha=108.83 beta=90.00 gamma=90.00
Last column: nearest neighbours and their distance in Å.
Atoms (fractional coordinates):
Ca1 0.5000 0.5000 0.0000  6 Se 2.99-3.00
Se1 0.0000 0.7464 0.2146  1 Er 2.91, 2 Ca 2.99, 2 Ba 3.25
Ba1 0.5000 0.0000 0.5000  6 Se 3.25
Er1 0.0000 0.0000 0.0000  6 Se 2.91-2.93
Se2 0.0000 0.2536 0.7854  1 Er 2.91, 2 Ca 2.99, 2 Ba 3.25
Se3 0.5000 0.7696 0.7883  2 Er 2.93, 1 Ca 3.00, 1 Ba 3.25
Ba2 0.0000 0.5000 0.5000  6 Se 3.31-3.32
Se4 0.5000 0.2304 0.2117  2 Er 2.93, 1 Ca 3.00, 1 Ba 3.25

An optimized crystal structure of Ba2CaEr2Tl5. Source: Alexandria, functional PBE-GGA.

space-group type = P4/mbm
DFT formation energy = -0.29 eV/atom

Unit cell a=3.9590 b=12.9499 c=12.9499 alpha=90.00 beta=90.00 gamma=90.00
Last column: nearest neighbours and their distance in Å.
Atoms (fractional coordinates):
Tl1 0.5000 0.8119 0.9311  2 Er 3.18, 2 Ca 3.26
Tl2 0.5000 0.0000 0.5000  4 Er 3.09
Ba1 0.0000 0.8278 0.6722  3 Er 3.63-3.95, 6 Tl 3.72-3.90, 2 Ba 3.96
Tl3 0.5000 0.6881 0.4311  2 Er 3.18, 2 Ca 3.26
Er1 0.0000 0.3705 0.1295  6 Tl 3.09-3.18
Tl4 0.5000 0.5000 0.0000  4 Er 3.09
Er2 0.0000 0.8705 0.3705  6 Tl 3.09-3.18
Tl5 0.5000 0.5689 0.6881  2 Er 3.18, 2 Ca 3.26
Ba2 0.0000 0.6722 0.1722  3 Er 3.63-3.95, 6 Tl 3.72-3.90, 2 Ba 3.96
Tl6 0.5000 0.3119 0.5689  2 Er 3.18, 2 Ca 3.26
Ba3 0.0000 0.1722 0.3278  3 Er 3.63-3.95, 6 Tl 3.72-3.90, 2 Ba 3.96
Ca1 0.0000 0.5000 0.5000  8 Tl 3.26
Er3 0.0000 0.6295 0.8705  6 Tl 3.09-3.18
Tl7 0.5000 0.4311 0.3119  2 Er 3.18, 2 Ca 3.26
Ca2 0.0000 0.0000 0.0000  8 Tl 3.26
Ba4 0.0000 0.3278 0.8278  3 Er 3.63-3.95, 6 Tl 3.72-3.90, 2 Ba 3.96
Tl8 0.5000 0.9311 0.1881  2 Er 3.18, 2 Ca 3.26
Er4 0.0000 0.1295 0.6295  6 Tl 3.09-3.18
Tl9 0.5000 0.1881 0.0689  2 Er 3.18, 2 Ca 3.26
Tl10 0.5000 0.0689 0.8119  2 Er 3.18, 2 Ca 3.26